Record 1
Here is an optimized crystal structure of NiSIN2 from Alexandria via LeMat-Bulk. Energies are from GGA-PBE.

Unit cell a=3.860 b=3.860 c=5.668 alpha=90.00 beta=90.00 gamma=90.00
Space group P4/mmm (No. 123)
Asymmetric unit:
Ni (0.000, 0.000, 0.000)
S (0.500, 0.500, 0.000)
I (0.500, 0.500, 0.500)
N (0.000, 0.500, 0.500)

V: 16.89 Å³ per atom
ΔE to the lowest computed polymorph: 626 meV/atom
Formation energy without anion corrections: 2.03 eV per atom

Record 2
Here is an optimized crystal structure of NiS2IN from Alexandria via LeMat-Bulk. Energies are from GGA-PBE.

Unit cell a=4.876 b=4.876 c=3.508 alpha=90.00 beta=90.00 gamma=90.00
Space group P4/mmm (No. 123)
Asymmetric unit:
Ni (0.000, 0.000, 0.000)
S (0.000, 0.500, 0.000)
I (0.500, 0.500, 0.500)
N (0.000, 0.000, 0.500)

V: 16.68 Å³ per atom
ΔE to the lowest computed polymorph: 0 meV/atom
Formation energy without anion corrections: 0.83 eV per atom

Record 3
Here is an optimized crystal structure of NiSIN2 from Alexandria via LeMat-Bulk. Energies are from GGA-PBE.

Unit cell a=3.522 b=3.522 c=7.515 alpha=90.00 beta=90.00 gamma=90.00
Space group P4/mmm (No. 123)
Asymmetric unit:
Ni (0.000, 0.000, 0.000)
S (0.500, 0.500, 0.500)
I (0.500, 0.500, 0.000)
N (0.000, 0.500, 0.500)

V: 18.64 Å³ per atom
ΔE to the lowest computed polymorph: 98 meV/atom
Formation energy without anion corrections: 1.50 eV per atom

Q: The lowest V belongs to which entry?
A: NiS2IN

Q: Which formula does entry 3 have?
A: NiSIN2

Q: The lowest V belongs to which entry?
A: NiS2IN